A relaxed ReSiSb2Te crystal, computed with PBE.

POSCAR file:
```
ReSiSb2Te
1.0
-1.391 1.601 -4.656
-2.379 -4.455 -0.821
-4.293 1.934 1.948
Sb Re Si Te
2 1 1 1
Direct
0.000 0.500 0.000
0.500 0.000 0.000
0.500 0.500 0.500
0.000 0.000 0.000
0.000 0.000 0.500
```

energy relative to the elements, uncorrected: 1.485 eV per atom
ΔE to the lowest computed polymorph: 0.481 eV per atom
total magnetic moment: 3.1 μB per cell



A relaxed SmReSb crystal, computed with PBE.

POSCAR file:
```
SmReSb
1.0
3.692 0.000 0.000
0.000 3.692 0.000
0.000 0.000 10.708
Sm Sb Re
2 2 2
Direct
0.500 0.000 0.760
0.000 0.500 0.240
0.000 0.500 0.581
0.500 0.000 0.419
0.500 0.500 0.000
0.000 0.000 0.000
```

energy relative to the elements, uncorrected: 0.011 eV per atom
total magnetic moment: 0.0 μB per cell



A relaxed Re3SnSb crystal, computed with PBE.

POSCAR file:
```
Re3SnSb
1.0
-0.754 -3.920 -2.821
4.823 -0.746 -0.252
-0.229 -2.823 3.983
Re Sb Sn
3 1 1
Direct
0.500 0.000 0.000
0.000 0.500 0.000
0.000 0.000 0.500
0.000 0.000 0.000
0.500 0.500 0.500
```

energy relative to the elements, uncorrected: 2.390 eV per atom
ΔE to the lowest computed polymorph: 0.000 eV per atom
total magnetic moment: 3.0 μB per cell



A relaxed Re2SnSb crystal, computed with PBE.

POSCAR file:
```
Re2SnSb
1.0
-4.903 5.662 -1.448
-2.195 -0.033 7.306
-1.580 4.673 3.529
Re Sn Sb
4 2 2
Direct
0.636 0.125 0.250
0.375 0.364 0.750
0.114 0.625 0.250
0.875 0.886 0.750
0.250 0.750 0.500
0.500 0.500 0.000
0.750 0.250 0.500
0.000 0.000 0.000
```

energy relative to the elements, uncorrected: 1.305 eV per atom
ΔE to the lowest computed polymorph: 0.712 eV per atom
total magnetic moment: 0.0 μB per cell



A relaxed Re2SnSb crystal, computed with PBE.

POSCAR file:
```
Re2SnSb
1.0
3.806 1.443 2.208
-0.381 2.469 3.898
1.176 -1.888 4.061
Sn Sb Re
1 1 2
Direct
0.000 0.000 0.000
0.500 0.500 0.500
0.750 0.750 0.750
0.250 0.250 0.250
```

energy relative to the elements, uncorrected: 0.593 eV per atom
ΔE to the lowest computed polymorph: 0.000 eV per atom
total magnetic moment: 0.0 μB per cell



A relaxed ReTc2SnSb crystal, computed with PBE.

POSCAR file:
```
ReTc2SnSb
1.0
-4.553 0.392 1.517
-0.208 -5.010 0.670
1.554 0.540 4.525
Re Tc Sn Sb
1 2 1 1
Direct
0.000 0.000 0.000
0.500 0.000 0.000
0.000 0.000 0.500
0.500 0.500 0.500
0.000 0.500 0.000
```

energy relative to the elements, uncorrected: 1.331 eV per atom
total magnetic moment: 1.8 μB per cell